# 1
# Li3RhPb2 | Alexandria | PBE-GGA | optimized geometry
data_Li3RhPb2
_chemical_formula_sum 'Li3 Rh1 Pb2'
_cell_length_a 5.370
_cell_length_b 5.370
_cell_length_c 4.751
_cell_angle_alpha 90.00
_cell_angle_beta 90.00
_cell_angle_gamma 120.00
_symmetry_space_group_name_H-M 'P 1'
_symmetry_Int_Tables_number 1
_symmetry_space_group_name_Hall 'P 1'
loop_
_atom_site_label
_atom_site_type_symbol
_atom_site_fract_x
_atom_site_fract_y
_atom_site_fract_z
Rh1 Rh 0.000 0.000 0.500
Li1 Li 0.500 0.500 0.000
Li2 Li 0.500 0.000 0.000
Pb1 Pb 0.333 0.667 0.500
Pb2 Pb 0.667 0.333 0.500
Li3 Li 0.000 0.500 0.000
# - Magnetization: 0.00 Bohr magnetons per cell
# - DFT total energy: -20.1 eV for the cell shown
# - Energy relative to the elements: 63 meV/atom

# 2
# KAcPu2Te4 | Alexandria | PBE-GGA | optimized geometry
data_KAcPu2Te4
_chemical_formula_sum 'K1 Ac1 Pu2 Te4'
_cell_length_a 4.585
_cell_length_b 8.124
_cell_length_c 7.998
_cell_angle_alpha 71.36
_cell_angle_beta 90.00
_cell_angle_gamma 90.00
_symmetry_space_group_name_H-M 'P 1'
_symmetry_Int_Tables_number 1
_symmetry_space_group_name_Hall 'P 1'
loop_
_atom_site_label
_atom_site_type_symbol
_atom_site_fract_x
_atom_site_fract_y
_atom_site_fract_z
Pu1 Pu 0.500 0.000 0.500
Te1 Te 0.500 0.769 0.246
K1 K 0.500 0.500 0.000
Te2 Te 0.000 0.774 0.736
Pu2 Pu 0.000 0.000 0.000
Te3 Te 0.500 0.231 0.754
Te4 Te 0.000 0.226 0.264
Ac1 Ac 0.000 0.500 0.500
# - ΔE_f (raw): -1223 meV/atom
# - Magnetization: 11.76 Bohr magnetons per cell
# - DFT total energy: -56.2 eV for the cell shown

# 3
# Ce3In | Alexandria | PBE-GGA | optimized geometry
data_Ce3In
_chemical_formula_sum 'Ce3 In1'
_cell_length_a 3.313
_cell_length_b 5.854
_cell_length_c 6.465
_cell_angle_alpha 116.92
_cell_angle_beta 104.85
_cell_angle_gamma 90.00
_symmetry_space_group_name_H-M 'P 1'
_symmetry_Int_Tables_number 1
_symmetry_space_group_name_Hall 'P 1'
loop_
_atom_site_label
_atom_site_type_symbol
_atom_site_fract_x
_atom_site_fract_y
_atom_site_fract_z
Ce1 Ce 0.726 0.024 0.452
In1 In 0.000 0.041 0.000
Ce2 Ce 0.500 0.529 0.000
Ce3 Ce 0.274 0.572 0.548
# - Magnetization: 0.51 Bohr magnetons per cell
# - DFT total energy: -21.2 eV for the cell shown
# - Energy relative to the elements: -173 meV/atom

# 4
# La3Ho3Ge4 | Alexandria | PBE-GGA | optimized geometry
data_La3Ho3Ge4
_chemical_formula_sum 'La3 Ho3 Ge4'
_cell_length_a 4.456
_cell_length_b 7.733
_cell_length_c 7.733
_cell_angle_alpha 89.77
_cell_angle_beta 90.00
_cell_angle_gamma 90.00
_symmetry_space_group_name_H-M 'P 1'
_symmetry_Int_Tables_number 1
_symmetry_space_group_name_Hall 'P 1'
loop_
_atom_site_label
_atom_site_type_symbol
_atom_site_fract_x
_atom_site_fract_y
_atom_site_fract_z
La1 La 0.500 0.827 0.173
Ho1 Ho 0.000 0.499 0.999
Ho2 Ho 0.000 0.001 0.501
La2 La 0.500 0.674 0.678
Ge1 Ge 0.000 0.368 0.632
Ge2 Ge 0.000 0.887 0.874
La3 La 0.500 0.322 0.326
Ge3 Ge 0.000 0.621 0.379
Ho3 Ho 0.500 0.174 0.826
Ge4 Ge 0.000 0.126 0.113
# - Magnetization: 0.00 Bohr magnetons per cell
# - DFT total energy: -54.8 eV for the cell shown
# - Energy relative to the elements: -781 meV/atom

# 5
# NaUSb2 | Alexandria | PBE-GGA | optimized geometry
data_NaUSb2
_chemical_formula_sum 'Na1 U1 Sb2'
_cell_length_a 3.945
_cell_length_b 3.945
_cell_length_c 7.103
_cell_angle_alpha 90.00
_cell_angle_beta 90.00
_cell_angle_gamma 90.00
_symmetry_space_group_name_H-M 'P 1'
_symmetry_Int_Tables_number 1
_symmetry_space_group_name_Hall 'P 1'
loop_
_atom_site_label
_atom_site_type_symbol
_atom_site_fract_x
_atom_site_fract_y
_atom_site_fract_z
U1 U 0.500 0.500 0.000
Sb1 Sb 0.000 0.000 0.223
Na1 Na 0.500 0.500 0.500
Sb2 Sb 0.000 0.000 0.777
# - ΔE_f (raw): -202 meV/atom
# - Magnetization: 2.53 Bohr magnetons per cell
# - DFT total energy: -21.7 eV for the cell shown

# 6
# PuMgCu2O6 | Alexandria | PBE-GGA | optimized geometry
data_PuMgCu2O6
_chemical_formula_sum 'Pu2 Mg2 Cu4 O12'
_cell_length_a 5.402
_cell_length_b 6.834
_cell_length_c 6.834
_cell_angle_alpha 85.62
_cell_angle_beta 82.76
_cell_angle_gamma 82.76
_symmetry_space_group_name_H-M 'P 1'
_symmetry_Int_Tables_number 1
_symmetry_space_group_name_Hall 'P 1'
loop_
_atom_site_label
_atom_site_type_symbol
_atom_site_fract_x
_atom_site_fract_y
_atom_site_fract_z
Mg1 Mg 0.750 0.085 0.915
O1 O 0.403 0.851 0.359
O2 O 0.368 0.544 0.713
Cu1 Cu 0.314 0.395 0.214
O3 O 0.120 0.983 0.803
O4 O 0.903 0.359 0.851
O5 O 0.097 0.641 0.149
Mg2 Mg 0.250 0.915 0.085
Cu2 Cu 0.814 0.214 0.395
Pu1 Pu 0.250 0.266 0.734
O6 O 0.620 0.803 0.983
Cu3 Cu 0.686 0.605 0.786
O7 O 0.380 0.197 0.017
Pu2 Pu 0.750 0.734 0.266
O8 O 0.132 0.287 0.456
O9 O 0.880 0.017 0.197
O10 O 0.632 0.456 0.287
O11 O 0.868 0.713 0.544
O12 O 0.597 0.149 0.641
Cu4 Cu 0.186 0.786 0.605
# - ΔE_f (raw): -1724 meV/atom
# - Magnetization: 0.08 Bohr magnetons per cell
# - DFT total energy: -142.2 eV for the cell shown

# 7
# SrCa2MoPd | Alexandria | PBE-GGA | optimized geometry
data_SrCa2MoPd
_chemical_formula_sum 'Sr1 Ca2 Mo1 Pd1'
_cell_length_a 5.523
_cell_length_b 5.807
_cell_length_c 5.523
_cell_angle_alpha 90.00
_cell_angle_beta 90.00
_cell_angle_gamma 90.00
_symmetry_space_group_name_H-M 'P 1'
_symmetry_Int_Tables_number 1
_symmetry_space_group_name_Hall 'P 1'
loop_
_atom_site_label
_atom_site_type_symbol
_atom_site_fract_x
_atom_site_fract_y
_atom_site_fract_z
Pd1 Pd 0.000 0.000 0.000
Mo1 Mo 0.500 0.500 0.500
Ca1 Ca 0.000 0.000 0.500
Sr1 Sr 0.000 0.500 0.000
Ca2 Ca 0.500 0.000 0.000
# - Magnetization: 4.61 Bohr magnetons per cell
# - DFT total energy: -19.1 eV for the cell shown
# - Energy relative to the elements: 513 meV/atom

# 8
# TlCd2Br | Alexandria | PBE-GGA | optimized geometry
data_TlCd2Br
_chemical_formula_sum 'Tl2 Cd4 Br2'
_cell_length_a 8.807
_cell_length_b 8.807
_cell_length_c 6.983
_cell_angle_alpha 50.91
_cell_angle_beta 50.91
_cell_angle_gamma 90.00
_symmetry_space_group_name_H-M 'P 1'
_symmetry_Int_Tables_number 1
_symmetry_space_group_name_Hall 'P 1'
loop_
_atom_site_label
_atom_site_type_symbol
_atom_site_fract_x
_atom_site_fract_y
_atom_site_fract_z
Br1 Br 0.250 0.750 0.500
Br2 Br 0.500 0.500 0.000
Cd1 Cd 0.875 0.875 0.750
Cd2 Cd 0.125 0.625 0.250
Cd3 Cd 0.625 0.125 0.250
Cd4 Cd 0.375 0.375 0.750
Tl1 Tl 0.750 0.250 0.500
Tl2 Tl 0.000 0.000 0.000
# - ΔE_f (raw): -205 meV/atom
# - Magnetization: 0.00 Bohr magnetons per cell
# - DFT total energy: -13.4 eV for the cell shown